w.
Compound: ZrP2F2
Source: Alexandria
Functional: PBE
Structure: optimized geometry

The structure in POSCAR format:
```
ZrP2F2
1.0
-1.5393 1.5393 9.1864
1.5393 -1.5393 9.1864
1.5393 1.5393 -9.1864
Zr P F
1 2 2
direct
0.0000 0.0000 0.0000 Zr
0.2500 0.7500 0.5000 P
0.7500 0.2500 0.5000 P
0.4356 0.4356 0.0000 F
0.5644 0.5644 0.0000 F
```



x.
Compound: ZrP2F2
Source: Alexandria
Functional: PBE
Structure: optimized geometry

The structure in POSCAR format:
```
ZrP2F2
1.0
5.4300 0.0000 0.0000
0.0000 5.4300 0.0000
0.0000 0.0000 5.2153
Zr P F
2 4 4
direct
0.0000 0.0000 0.0000 Zr
0.5000 0.5000 0.0000 Zr
0.1511 0.3489 0.5000 P
0.3489 0.8489 0.5000 P
0.6511 0.1511 0.5000 P
0.8489 0.6511 0.5000 P
0.1530 0.6530 0.0000 F
0.3470 0.1530 0.0000 F
0.6530 0.8470 0.0000 F
0.8470 0.3470 0.0000 F
```



Last place for stability: w